# YNbSeN2

A geometry-optimized YNbSeN2 structure (PBE-GGA, Alexandria via LeMat-Bulk).

a = 4.2381 Å, b = 4.2381 Å, c = 5.4340 Å
α = 90.00°, β = 90.00°, γ = 90.00°
Atoms (fractional coordinates):
Y  0.0000  0.0000  0.0000
Nb  0.5000  0.5000  0.5000
Se  0.0000  0.0000  0.5000
N  0.0000  0.5000  0.0000
N  0.5000  0.0000  0.0000

## Properties
- uncorrected formation energy (eV per atom) = 0.9989
- final energy (eV per atom) = -6.33
- space group = P4/mmm, No. 123
- total magnetization (μB/f.u.) = 0.0
- energy relative to the lowest polymorph listed for this composition (meV/atom) = 1559
- crystal system = tetragonal